Crystalline Fe2RuBr at its relaxed geometry, computed with GGA-PBEsol.

a b c (Å): 3.644 3.644 8.341
angles (deg): 90.00 90.00 90.00
Space group I4/mmm (No. 139)
Asymmetric unit:
Fe: 0.000 0.500 0.250 (multiplicity 4)
Ru: 0.000 0.000 0.000 (multiplicity 2)
Br: 0.000 0.000 0.500 (multiplicity 2)

Computed properties:
Offset from the most stable computed form   0.0348 eV/atom
Total magnetic moment   12.91 Bohr magnetons per cell
ΔE_f (raw)   0.90 eV per atom

Crystalline FeRuBr at its relaxed geometry, computed with GGA-PBEsol.

a b c (Å): 3.1370 3.1370 5.6208
angles (deg): 90.00 90.00 120.00
Space group P3m1 (No. 156)
Asymmetric unit:
Fe: 0.0000 0.0000 0.0000 (multiplicity 1)
Ru: 0.3333 0.6667 0.7291 (multiplicity 1)
Br: 0.6667 0.3333 0.3480 (multiplicity 1)

Computed properties:
Offset from the most stable computed form   0.0000 eV/atom
Total magnetic moment   3.46 Bohr magnetons per cell
ΔE_f (raw)   0.59 eV per atom

Crystalline Fe2RuBr at its relaxed geometry, computed with GGA-PBEsol.

a b c (Å): 5.981 5.981 5.981
angles (deg): 90.00 90.00 90.00
Space group F-43m (No. 216)
Asymmetric unit:
Fe: 0.000 0.000 0.000 (multiplicity 4)
Fe: 0.250 0.250 0.250 (multiplicity 4)
Ru: 0.250 0.250 0.750 (multiplicity 4)
Br: 0.000 0.000 0.500 (multiplicity 4)

Computed properties:
Offset from the most stable computed form   0.0000 eV/atom
Total magnetic moment   20.99 Bohr magnetons per cell
ΔE_f (raw)   0.87 eV per atom

Crystalline FeSe2SBr at its relaxed geometry, computed with GGA-PBEsol.

a b c (Å): 4.837 4.837 4.787
angles (deg): 90.00 90.00 90.00
Space group P4/mmm (No. 123)
Asymmetric unit:
Fe: 0.000 0.000 0.000 (multiplicity 1)
Se: 0.000 0.500 0.500 (multiplicity 2)
S: 0.500 0.500 0.500 (multiplicity 1)
Br: 0.500 0.500 0.000 (multiplicity 1)

Computed properties:
Total magnetic moment   3.97 Bohr magnetons per cell
ΔE_f (raw)   0.86 eV per atom

Crystalline TlFe2SBr at its relaxed geometry, computed with GGA-PBEsol.

a b c (Å): 4.259 4.259 6.900
angles (deg): 90.00 90.00 90.00
Space group P4/mmm (No. 123)
Asymmetric unit:
Tl: 0.000 0.000 0.000 (multiplicity 1)
Fe: 0.000 0.500 0.500 (multiplicity 2)
S: 0.500 0.500 0.500 (multiplicity 1)
Br: 0.500 0.500 0.000 (multiplicity 1)

Computed properties:
Total magnetic moment   5.81 Bohr magnetons per cell
ΔE_f (raw)   0.32 eV per atom

Crystalline FeSbBr2 at its relaxed geometry, computed with GGA-PBEsol.

a b c (Å): 3.150 3.150 9.630
angles (deg): 90.00 90.00 90.00
Space group P4/mmm (No. 123)
Asymmetric unit:
Fe: 0.000 0.000 0.000 (multiplicity 1)
Sb: 0.000 0.000 0.500 (multiplicity 1)
Br: 0.500 0.500 0.165 (multiplicity 2)

Computed properties:
Offset from the most stable computed form   0.2492 eV/atom
Total magnetic moment   3.64 Bohr magnetons per cell
ΔE_f (raw)   0.19 eV per atom

Crystalline FeSb2Br at its relaxed geometry, computed with GGA-PBEsol.

a b c (Å): 3.493 3.493 7.409
angles (deg): 90.00 90.00 90.00
Space group P4mm (No. 99)
Asymmetric unit:
Fe: 0.000 0.000 0.000 (multiplicity 1)
Sb: 0.000 0.000 0.391 (multiplicity 1)
Sb: 0.500 0.500 0.135 (multiplicity 1)
Br: 0.500 0.500 0.730 (multiplicity 1)

Computed properties:
Offset from the most stable computed form   0.1177 eV/atom
Total magnetic moment   2.51 Bohr magnetons per cell
ΔE_f (raw)   0.27 eV per atom

Crystalline FeSb2Br at its relaxed geometry, computed with GGA-PBEsol.

a b c (Å): 3.205 4.963 11.417
angles (deg): 90.00 90.00 90.00
Space group Immm (No. 71)
Asymmetric unit:
Fe: 0.000 0.000 0.000 (multiplicity 2)
Sb: 0.000 0.500 0.315 (multiplicity 4)
Br: 0.000 0.000 0.500 (multiplicity 2)

Computed properties:
Offset from the most stable computed form   0.1065 eV/atom
Total magnetic moment   5.32 Bohr magnetons per cell
ΔE_f (raw)   0.26 eV per atom

Crystalline Fe4SbBr at its relaxed geometry, computed with GGA-PBEsol.

a b c (Å): 7.077 7.077 7.077
angles (deg): 90.00 90.00 90.00
Space group F-43m (No. 216)
Asymmetric unit:
Fe: 0.124 0.124 0.376 (multiplicity 16)
Sb: 0.250 0.250 0.750 (multiplicity 4)
Br: 0.000 0.000 0.000 (multiplicity 4)

Computed properties:
Total magnetic moment   41.50 Bohr magnetons per cell
ΔE_f (raw)   0.53 eV per atom

Crystalline FeSbBr2 at its relaxed geometry, computed with GGA-PBEsol.

a b c (Å): 5.492 3.394 5.497
angles (deg): 90.00 106.83 90.00
Space group Pm (No. 6)
Asymmetric unit:
Fe: 0.000 0.000 0.000 (multiplicity 1)
Sb: 0.727 0.500 0.668 (multiplicity 1)
Br: 0.057 0.500 0.336 (multiplicity 1)
Br: 0.422 0.000 0.967 (multiplicity 1)

Computed properties:
Offset from the most stable computed form   0.0000 eV/atom
Total magnetic moment   2.72 Bohr magnetons per cell
ΔE_f (raw)   -0.05 eV per atom

Crystalline FeSb2Br at its relaxed geometry, computed with GGA-PBEsol.

a b c (Å): 3.195 4.743 13.105
angles (deg): 90.00 90.00 90.00
Space group Imm2 (No. 44)
Asymmetric unit:
Fe: 0.000 0.000 0.000 (multiplicity 2)
Sb: 0.000 0.000 0.540 (multiplicity 2)
Sb: 0.000 0.500 0.674 (multiplicity 2)
Br: 0.000 0.500 0.355 (multiplicity 2)

Computed properties:
Offset from the most stable computed form   0.0000 eV/atom
Total magnetic moment   5.50 Bohr magnetons per cell
ΔE_f (raw)   0.15 eV per atom

Crystalline Fe2SbBr2 at its relaxed geometry, computed with GGA-PBEsol.

a b c (Å): 4.366 4.366 10.427
angles (deg): 90.00 90.00 90.00
Space group I4/mmm (No. 139)
Asymmetric unit:
Fe: 0.000 0.000 0.107 (multiplicity 4)
Sb: 0.000 0.000 0.500 (multiplicity 2)
Br: 0.000 0.500 0.250 (multiplicity 4)

Computed properties:
Total magnetic moment   11.06 Bohr magnetons per cell
ΔE_f (raw)   0.49 eV per atom

Crystalline Sc2FeBr at its relaxed geometry, computed with GGA-PBEsol.

a b c (Å): 6.575 6.575 6.575
angles (deg): 90.00 90.00 90.00
Space group F-43m (No. 216)
Asymmetric unit:
Sc: 0.000 0.000 0.000 (multiplicity 4)
Sc: 0.250 0.250 0.250 (multiplicity 4)
Fe: 0.250 0.250 0.750 (multiplicity 4)
Br: 0.000 0.000 0.500 (multiplicity 4)

Computed properties:
Offset from the most stable computed form   0.6290 eV/atom
Total magnetic moment   3.31 Bohr magnetons per cell
ΔE_f (raw)   0.39 eV per atom

Crystalline ScFe2Br at its relaxed geometry, computed with GGA-PBEsol.

a b c (Å): 6.286 6.286 6.286
angles (deg): 90.00 90.00 90.00
Space group F-43m (No. 216)
Asymmetric unit:
Sc: 0.000 0.000 0.000 (multiplicity 4)
Fe: 0.000 0.000 0.500 (multiplicity 4)
Fe: 0.250 0.250 0.750 (multiplicity 4)
Br: 0.250 0.250 0.250 (multiplicity 4)

Computed properties:
Offset from the most stable computed form   0.1826 eV/atom
Total magnetic moment   19.25 Bohr magnetons per cell
ΔE_f (raw)   0.39 eV per atom

Crystalline ScFe2Br at its relaxed geometry, computed with GGA-PBEsol.

a b c (Å): 3.625 3.625 4.671
angles (deg): 90.00 90.00 90.00
Space group P4/mmm (No. 123)
Asymmetric unit:
Sc: 0.000 0.000 0.000 (multiplicity 1)
Fe: 0.000 0.500 0.500 (multiplicity 2)
Br: 0.500 0.500 0.000 (multiplicity 1)

Computed properties:
Offset from the most stable computed form   0.0000 eV/atom
Total magnetic moment   4.34 Bohr magnetons per cell
ΔE_f (raw)   0.21 eV per atom

Crystalline Sc2FeBr at its relaxed geometry, computed with GGA-PBEsol.

a b c (Å): 3.655 3.655 5.783
angles (deg): 90.00 90.00 90.00
Space group P4mm (No. 99)
Asymmetric unit:
Sc: 0.000 0.000 0.000 (multiplicity 1)
Sc: 0.500 0.500 0.363 (multiplicity 1)
Fe: 0.500 0.500 0.984 (multiplicity 1)
Br: 0.000 0.000 0.520 (multiplicity 1)

Computed properties:
Offset from the most stable computed form   0.0000 eV/atom
Total magnetic moment   0.01 Bohr magnetons per cell
ΔE_f (raw)   -0.23 eV per atom

Crystalline Sc2FeBr at its relaxed geometry, computed with GGA-PBEsol.

a b c (Å): 4.391 4.391 7.388
angles (deg): 90.00 90.00 90.00
Space group I4/mmm (No. 139)
Asymmetric unit:
Sc: 0.000 0.500 0.250 (multiplicity 4)
Fe: 0.000 0.000 0.000 (multiplicity 2)
Br: 0.000 0.000 0.500 (multiplicity 2)

Computed properties:
Offset from the most stable computed form   0.2046 eV/atom
Total magnetic moment   1.36 Bohr magnetons per cell
ΔE_f (raw)   -0.03 eV per atom

Crystalline ScFeSe2Br at its relaxed geometry, computed with GGA-PBEsol.

a b c (Å): 4.718 4.718 4.687
angles (deg): 90.00 90.00 90.00
Space group P4/mmm (No. 123)
Asymmetric unit:
Sc: 0.000 0.000 0.000 (multiplicity 1)
Fe: 0.500 0.500 0.500 (multiplicity 1)
Se: 0.000 0.500 0.500 (multiplicity 2)
Br: 0.500 0.500 0.000 (multiplicity 1)

Computed properties:
Total magnetic moment   2.09 Bohr magnetons per cell
ΔE_f (raw)   -0.24 eV per atom

Crystalline FeSeBr3 at its relaxed geometry, computed with GGA-PBEsol.

a b c (Å): 4.905 4.905 4.905
angles (deg): 90.00 90.00 90.00
Space group Pm-3m (No. 221)
Asymmetric unit:
Fe: 0.000 0.000 0.000 (multiplicity 1)
Se: 0.500 0.500 0.500 (multiplicity 1)
Br: 0.000 0.000 0.500 (multiplicity 3)

Computed properties:
Total magnetic moment   1.84 Bohr magnetons per cell
ΔE_f (raw)   0.24 eV per atom

Crystalline FeTcSe2Br at its relaxed geometry, computed with GGA-PBEsol.

a b c (Å): 4.718 4.718 5.188
angles (deg): 90.00 90.00 90.00
Space group P4/mmm (No. 123)
Asymmetric unit:
Fe: 0.000 0.000 0.000 (multiplicity 1)
Tc: 0.500 0.500 0.500 (multiplicity 1)
Se: 0.000 0.500 0.500 (multiplicity 2)
Br: 0.500 0.500 0.000 (multiplicity 1)

Computed properties:
Total magnetic moment   3.57 Bohr magnetons per cell
ΔE_f (raw)   0.80 eV per atom